# 1
This record from OQMD describes Zr5GaGe3 after structural relaxation. The functional is PBE.

a = 8.3465 Å, b = 8.3465 Å, c = 5.7223 Å
α = 90.00°, β = 90.00°, γ = 120.00°
Space group P6_3/mcm (No. 193)
Inequivalent atoms, fractional coordinates:
1 Zr 0.0000 0.2746 0.2500 [6 per cell]
2 Zr 0.3333 0.6667 0.0000 [4 per cell]
3 Ga 0.0000 0.0000 0.0000 [2 per cell]
4 Ge 0.0000 0.3858 0.7500 [6 per cell]


# 2
This record from OQMD describes Zr2GaGe2 after structural relaxation. The functional is PBE.

a = 3.612 Å, b = 3.612 Å, c = 15.089 Å
α = 90.00°, β = 90.00°, γ = 90.00°
Space group I4/mmm (No. 139)
Inequivalent atoms, fractional coordinates:
1 Zr 0.000 0.000 0.105 [4 per cell]
2 Ga 0.000 0.000 0.500 [2 per cell]
3 Ge 0.000 0.500 0.250 [4 per cell]


# 3
This record from OQMD describes Zr2GaGe after structural relaxation. The functional is PBE.

a = 5.455 Å, b = 3.866 Å, c = 7.742 Å
α = 90.00°, β = 110.22°, γ = 90.00°
Space group P2_1/m (No. 11)
Inequivalent atoms, fractional coordinates:
1 Zr 0.207 0.250 0.427 [2 per cell]
2 Zr 0.284 0.750 0.069 [2 per cell]
3 Ga 0.383 0.750 0.706 [2 per cell]
4 Ge 0.127 0.250 0.793 [2 per cell]


# 4
This record from OQMD describes GaHIr3 after structural relaxation. The functional is PBE.

a = 5.373 Å, b = 5.373 Å, c = 4.228 Å
α = 90.00°, β = 90.00°, γ = 90.00°
Space group P4bm (No. 100)
Inequivalent atoms, fractional coordinates:
1 Ga 0.000 0.500 0.000 [2 per cell]
2 H 0.000 0.000 0.400 [2 per cell]
3 Ir 0.000 0.000 0.982 [2 per cell]
4 Ir 0.191 0.309 0.501 [4 per cell]


# 5
This record from OQMD describes GaNi3H after structural relaxation. The functional is PBE.

a = 3.631 Å, b = 3.631 Å, c = 3.631 Å
α = 90.00°, β = 90.00°, γ = 90.00°
Space group Pm-3m (No. 221)
Inequivalent atoms, fractional coordinates:
1 Ga 0.000 0.000 0.000 [1 per cell]
2 Ni 0.000 0.500 0.500 [3 per cell]
3 H 0.500 0.500 0.500 [1 per cell]


# 6
This record from OQMD describes GaNi3H after structural relaxation. The functional is PBE.

a = 3.631 Å, b = 3.631 Å, c = 3.619 Å
α = 90.00°, β = 90.00°, γ = 90.00°
Space group P4/mmm (No. 123)
Inequivalent atoms, fractional coordinates:
1 Ga 0.000 0.000 0.000 [1 per cell]
2 Ni 0.000 0.500 0.500 [2 per cell]
3 Ni 0.500 0.500 0.000 [1 per cell]
4 H 0.500 0.500 0.500 [1 per cell]


no.,magnetization (μB/f.u.),electronic total energy (eV/atom),volume (Å³ per cell)
1,0.01,-7.392,345.2
2,0.01,-6.221,196.8
3,0.00,-6.956,153.2
4,0.00,-6.619,122.0
5,0.01,-4.945,47.9
6,0.02,-4.945,47.7